(1)
Compound: ReAuSe2
Source: the Alexandria database
Functional: PBE
Structure: optimized geometry

The structure in CIF format:
```
data_ReAuSe2
_space_group_name_H-M_alt 'C 1 2/m 1'
_space_group_IT_number 12
_cell_length_a 7.078
_cell_length_b 3.174
_cell_length_c 8.119
_cell_angle_alpha 90.00
_cell_angle_beta 108.21
_cell_angle_gamma 90.00
loop_
_space_group_symop_operation_xyz
'x,y,z'
'-x,-y,-z'
'-x,y,-z'
'x,-y,z'
'x+1/2,y+1/2,z'
'-x+1/2,-y+1/2,-z'
'-x+1/2,y+1/2,-z'
'x+1/2,-y+1/2,z'
loop_
_atom_site_label
_atom_site_type_symbol
_atom_site_fract_x
_atom_site_fract_y
_atom_site_fract_z
Re1 Re 0.000 0.000 0.000
Au1 Au 0.000 0.500 0.500
Se1 Se 0.138 0.500 0.822
```

Computed properties:
**Relative energy among the computed polymorphs**: 0.000 eV per atom
**E_form (uncorrected)**: 44 kJ/mol of formula units
**Total magnetization**: 0.0 μB/cell
**Energy**: -5.561 eV/atom



(2)
Compound: NaNd2TmTe4
Source: the Alexandria database
Functional: PBE
Structure: optimized geometry

The structure in CIF format:
```
data_NaNd2TmTe4
_space_group_name_H-M_alt 'P 1 2/m 1'
_space_group_IT_number 10
_cell_length_a 7.698
_cell_length_b 4.411
_cell_length_c 7.751
_cell_angle_alpha 90.00
_cell_angle_beta 108.84
_cell_angle_gamma 90.00
loop_
_space_group_symop_operation_xyz
'x,y,z'
'-x,-y,-z'
'-x,y,-z'
'x,-y,z'
loop_
_atom_site_label
_atom_site_type_symbol
_atom_site_fract_x
_atom_site_fract_y
_atom_site_fract_z
Na1 Na 0.000 0.000 0.000
Nd1 Nd 0.000 0.500 0.500
Nd2 Nd 0.500 0.000 0.500
Tm1 Tm 0.500 0.500 0.000
Te1 Te 0.252 0.500 0.241
Te2 Te 0.258 0.000 0.764
```

Computed properties:
**E_form (uncorrected)**: -1027 kJ/mol of formula units
**Total magnetization**: 0.0 μB/cell
**Energy**: -4.817 eV/atom



(3)
Compound: LiYSc4Se8
Source: the Alexandria database
Functional: PBE
Structure: optimized geometry

The structure in CIF format:
```
data_LiYSc4Se8
_space_group_name_H-M_alt 'R 3 m'
_space_group_IT_number 160
_space_group_name_Hall 'R 3 -2"'
_cell_length_a 7.9613
_cell_length_b 7.9613
_cell_length_c 19.9498
_cell_angle_alpha 90.00
_cell_angle_beta 90.00
_cell_angle_gamma 120.00
loop_
_atom_site_label
_atom_site_type_symbol
_atom_site_fract_x
_atom_site_fract_y
_atom_site_fract_z
Li1 Li 0.0000 0.0000 0.0000
Y1 Y 0.0000 0.0000 0.3694
Sc1 Sc 0.0000 0.0000 0.7455
Sc2 Sc 0.0167 0.5084 0.8753
Se1 Se 0.0000 0.0000 0.1307
Se2 Se 0.0000 0.0000 0.6141
Se3 Se 0.0118 0.5059 0.1294
Se4 Se 0.1714 0.3428 0.9500
```

Computed properties:
**E_form (uncorrected)**: -2236 kJ/mol of formula units
**Total magnetization**: 0.0 μB/cell
**Energy**: -6.054 eV/atom



(4)
Compound: K2PuZrSe4
Source: the Alexandria database
Functional: PBE
Structure: optimized geometry

The structure in CIF format:
```
data_K2PuZrSe4
_space_group_name_H-M_alt 'P 1 2/m 1'
_space_group_IT_number 10
_cell_length_a 7.139
_cell_length_b 4.106
_cell_length_c 8.063
_cell_angle_alpha 90.00
_cell_angle_beta 106.97
_cell_angle_gamma 90.00
loop_
_space_group_symop_operation_xyz
'x,y,z'
'-x,-y,-z'
'-x,y,-z'
'x,-y,z'
loop_
_atom_site_label
_atom_site_type_symbol
_atom_site_fract_x
_atom_site_fract_y
_atom_site_fract_z
K1 K 0.000 0.000 0.000
K2 K 0.500 0.500 0.000
Pu1 Pu 0.000 0.500 0.500
Zr1 Zr 0.500 0.000 0.500
Se1 Se 0.251 0.000 0.706
Se2 Se 0.280 0.500 0.298
```

Computed properties:
**E_form (uncorrected)**: -1083 kJ/mol of formula units
**Total magnetization**: 5.9 μB/cell
**Energy**: -6.280 eV/atom



(5)
Compound: Pm2EuDy
Source: the Alexandria database
Functional: PBE
Structure: optimized geometry

The structure in CIF format:
```
data_Pm2EuDy
_space_group_name_H-M_alt 'F m -3 m'
_space_group_IT_number 225
_space_group_name_Hall '-F 4 2 3'
_cell_length_a 8.238
_cell_length_b 8.238
_cell_length_c 8.238
_cell_angle_alpha 90.00
_cell_angle_beta 90.00
_cell_angle_gamma 90.00
loop_
_atom_site_label
_atom_site_type_symbol
_atom_site_fract_x
_atom_site_fract_y
_atom_site_fract_z
Pm1 Pm 0.250 0.250 0.250
Eu1 Eu 0.000 0.000 0.000
Dy1 Dy 0.000 0.000 0.500
```

Computed properties:
**Relative energy among the computed polymorphs**: 0.104 eV per atom
**Total magnetization**: 32.0 μB/cell
**Energy**: -5.951 eV/atom
**Energy relative to the elements**: 0.144 eV/atom



(6)
Compound: AgGeB3
Source: the Alexandria database
Functional: PBE
Structure: optimized geometry

The structure in CIF format:
```
data_AgGeB3
_space_group_name_H-M_alt 'P m -3 m'
_space_group_IT_number 221
_space_group_name_Hall '-P 4 2 3'
_cell_length_a 4.171
_cell_length_b 4.171
_cell_length_c 4.171
_cell_angle_alpha 90.00
_cell_angle_beta 90.00
_cell_angle_gamma 90.00
loop_
_atom_site_label
_atom_site_type_symbol
_atom_site_fract_x
_atom_site_fract_y
_atom_site_fract_z
Ag1 Ag 0.000 0.000 0.000
Ge1 Ge 0.500 0.500 0.500
B1 B 0.000 0.500 0.500
```

Computed properties:
**Relative energy among the computed polymorphs**: 0.000 eV per atom
**Total magnetization**: 0.0 μB/cell
**Energy**: -3.597 eV/atom
**Energy relative to the elements**: 1.903 eV/atom



(7)
Compound: K2InMoAs
Source: the Alexandria database
Functional: PBE
Structure: optimized geometry

The structure in CIF format:
```
data_K2InMoAs
_space_group_name_H-M_alt 'P 4/m m m'
_space_group_IT_number 123
_space_group_name_Hall '-P 4 2'
_cell_length_a 6.597
_cell_length_b 6.597
_cell_length_c 4.845
_cell_angle_alpha 90.00
_cell_angle_beta 90.00
_cell_angle_gamma 90.00
loop_
_atom_site_label
_atom_site_type_symbol
_atom_site_fract_x
_atom_site_fract_y
_atom_site_fract_z
K1 K 0.000 0.500 0.000
In1 In 0.000 0.000 0.500
Mo1 Mo 0.500 0.500 0.000
As1 As 0.500 0.500 0.500
```

Computed properties:
**Total magnetization**: 3.3 μB/cell
**Energy**: -3.439 eV/atom
**Energy relative to the elements**: 0.644 eV/atom



(8)
Compound: Cd2SiAgMo
Source: the Alexandria database
Functional: PBE
Structure: optimized geometry

The structure in CIF format:
```
data_Cd2SiAgMo
_space_group_name_H-M_alt 'P 4/m m m'
_space_group_IT_number 123
_space_group_name_Hall '-P 4 2'
_cell_length_a 5.016
_cell_length_b 5.016
_cell_length_c 4.745
_cell_angle_alpha 90.00
_cell_angle_beta 90.00
_cell_angle_gamma 90.00
loop_
_atom_site_label
_atom_site_type_symbol
_atom_site_fract_x
_atom_site_fract_y
_atom_site_fract_z
Cd1 Cd 0.000 0.500 0.000
Si1 Si 0.000 0.000 0.000
Ag1 Ag 0.000 0.000 0.500
Mo1 Mo 0.500 0.500 0.500
```

Computed properties:
**E_form (uncorrected)**: 537 kJ/mol of formula units
**Total magnetization**: 4.2 μB/cell
**Energy**: -3.074 eV/atom